A geometry-optimized MnBe2P structure, computed with PBE.

Output
Density of states at the Fermi level (states/eV per cell): 2.898
ΔE_f (eV/atom): 0.2604
Uncorrected energy (eV per atom): -5.25

a = 2.420 Å, b = 2.420 Å, c = 7.251 Å
α = 90.00°, β = 90.00°, γ = 90.00°
Fractional positions:
P 0.500 0.500 0.750
Mn 0.500 0.500 0.250
Be 0.000 0.000 0.024
Be 0.000 0.000 0.476



A geometry-optimized MnBeP structure, computed with PBE.

Output
Density of states at the Fermi level (states/eV per cell): 4.252
ΔE_f (eV/atom): -0.1557
Uncorrected energy (eV per atom): -6.26

a = 4.627 Å, b = 6.469 Å, c = 6.444 Å
α = 50.19°, β = 66.78°, γ = 67.24°
Fractional positions:
Mn 0.219 0.652 0.899
Mn 0.781 0.848 0.601
Mn 0.781 0.348 0.101
Mn 0.219 0.152 0.399
P 0.166 0.471 0.719
P 0.166 0.971 0.219
P 0.834 0.529 0.281
P 0.834 0.029 0.781
Be 0.663 0.458 0.707
Be 0.663 0.959 0.207
Be 0.337 0.542 0.293
Be 0.337 0.041 0.793



- Among the records above, which one has the lowest density of states at the Fermi level?
  MnBe2P